Material: Sr2Mg
Method: DFT, GGA-PBE
State: relaxed

Cell: 16.0591 16.0591 16.0591 Å, 90.00 90.00 90.00°
Closest atoms and distances in Å follow each position.
Space group Fd-3m (No. 227, origin choice 2)
Asymmetric unit:
Sr 0.0000 0.0000 0.0000  6 Mg 3.44
Sr 0.0658 0.3750 0.8750  4 Mg 3.89-4.11, 10 Sr 4.10-4.33
Mg 0.0455 0.0455 0.2045  3 Sr 3.44, 3 Mg 3.61

The density of states at the Fermi level comes out at 1.3394 states/eV/atom. The value obtained for the formation energy from the elements is -0.0189 eV/atom.